CoCuSe2, relaxed, DFT PBE; E_form (uncorrected) = 0.30 eV/atom; space group = No. 47; total moment = 2.36 μB/f.u.
1.0
-0.115 -3.410 0.668
6.559 -0.703 -2.458
1.224 0.567 3.103
Co Cu Se
1 1 2
Direct
0.500 0.000 0.500
0.000 0.500 0.500
0.000 0.000 0.000
0.500 0.500 0.000